This record from the Alexandria database describes a relaxed Co2AgH crystal. The functional is GGA-PBE.

Results
- calculated volume (Å³ per atom) = 10.72
- E above lowest polymorph (kJ/mol of formula units) = 22
- size of the total moment (μB/cell) = 5.975

Lattice parameters (Å, degrees): 2.7595 3.4673 8.9634 90.00 90.00 90.00
Last column: nearest neighbours and their distance in Å.
Positions (direct):
H  0.0000  0.5000  0.9001  4 Co 1.70-1.74
H  0.5000  0.0000  0.4001  4 Co 1.70-1.74
Co  0.0000  0.0000  0.9133  2 H 1.74
Co  0.5000  0.5000  0.4133  2 H 1.74
Co  0.0000  0.0000  0.2895  2 H 1.70
Co  0.5000  0.5000  0.7895  2 H 1.70
Ag  0.5000  0.5000  0.1083  2 H 2.32
Ag  0.0000  0.0000  0.6083  2 H 2.32



This record from the Alexandria database describes a relaxed K4ZrNp3Se8 crystal. The functional is GGA-PBE.

Results
- calculated volume (Å³ per atom) = 29.09
- size of the total moment (μB/cell) = 13.007
- formation energy (no corrections) (eV per formula unit) = -20.4

Lattice parameters (Å, degrees): 8.3431 9.0999 8.3433 117.29 120.00 90.00
Last column: nearest neighbours and their distance in Å.
Positions (direct):
Np  0.5000  0.5000  0.0000  6 Se 2.90-2.92
Np  0.5000  0.5000  0.5000  6 Se 2.90-2.92
Np  0.0000  0.5000  0.5000  6 Se 2.90-2.92
K  0.5000  0.0000  0.0000  6 Se 3.38
K  0.0000  0.0000  0.0000  6 Se 3.29
K  0.0000  0.0000  0.5000  6 Se 3.29
K  0.5000  0.0000  0.5000  6 Se 3.29
Se  0.7715  0.2957  0.5429  1 Zr 2.80, 2 Np 2.92
Se  0.7715  0.2957  0.0243  1 Zr 2.80, 2 Np 2.92
Se  0.7365  0.7095  0.4730  3 Np 2.90
Se  0.2528  0.2957  0.0243  1 Zr 2.80, 2 Np 2.92
Se  0.7472  0.7043  0.9757  1 Zr 2.80, 2 Np 2.92
Se  0.2635  0.2905  0.5270  3 Np 2.90
Se  0.2285  0.7043  0.4571  1 Zr 2.80, 2 Np 2.92
Se  0.2285  0.7043  0.9757  1 Zr 2.80, 2 Np 2.92
Zr  0.0000  0.5000  0.0000  6 Se 2.80



This record from the Alexandria database describes a relaxed LiSiIr2 crystal. The functional is GGA-PBE.

Results
- calculated volume (Å³ per atom) = 13.11
- size of the total moment (μB/cell) = 0.000
- formation energy (no corrections) (eV per formula unit) = -1.2

Lattice parameters (Å, degrees): 2.7258 3.6995 5.2004 90.00 90.00 90.00
Last column: nearest neighbours and their distance in Å.
Positions (direct):
Ir  0.0000  0.0000  0.9724  2 Li 2.50-2.70, 4 Si 2.57, 2 Ir 2.73
Ir  0.5000  0.5000  0.2843  1 Si 2.43, 4 Li 2.54, 2 Ir 2.73
Li  0.0000  0.0000  0.4908  6 Ir 2.50-2.70, 4 Si 2.67, 2 Li 2.73
Si  0.5000  0.5000  0.7524  5 Ir 2.43-2.57, 4 Li 2.67, 2 Si 2.73



This record from the Alexandria database describes a relaxed Al2SbTe crystal. The functional is GGA-PBE.

Results
- calculated volume (Å³ per atom) = 25.45
- E above lowest polymorph (kJ/mol of formula units) = 78
- size of the total moment (μB/cell) = 0.000
- formation energy (no corrections) (eV per formula unit) = 0.4

Lattice parameters (Å, degrees): 5.0947 5.0947 5.0811 69.87 69.87 107.91
Last column: nearest neighbours and their distance in Å.
Positions (direct):
Al  0.5000  0.5000  0.0000  2 Te 2.91, 2 Sb 2.91, 2 Al 3.00
Al  0.0000  0.0000  0.0000  2 Sb 2.91, 2 Te 2.91, 2 Al 3.00
Te  0.0000  0.5000  0.5000  4 Al 2.91, 2 Sb 3.00
Sb  0.5000  0.0000  0.5000  4 Al 2.91, 2 Te 3.00



This record from the Alexandria database describes a relaxed LiHgBiAs crystal. The functional is GGA-PBE.

Results
- calculated volume (Å³ per atom) = 24.21
- energy (eV per atom) = -2.720
- size of the total moment (μB/cell) = 0.000

Lattice parameters (Å, degrees): 5.1543 5.1543 5.1543 60.00 60.00 60.00
Last column: nearest neighbours and their distance in Å.
Positions (direct):
As  0.2500  0.2500  0.2500  4 Bi 3.16, 4 Li 3.16
Li  0.0000  0.0000  0.0000  4 Hg 3.16, 4 As 3.16
Bi  0.5000  0.5000  0.5000  4 Hg 3.16, 4 As 3.16
Hg  0.7500  0.7500  0.7500  4 Bi 3.16, 4 Li 3.16



This record from the Alexandria database describes a relaxed Sm3Y4Tm crystal. The functional is GGA-PBE.

Results
- calculated volume (Å³ per atom) = 32.98
- E above lowest polymorph (kJ/mol of formula units) = 0
- size of the total moment (μB/cell) = 0.001

Lattice parameters (Å, degrees): 6.3260 7.3235 11.3913 90.00 90.00 90.00
Last column: nearest neighbours and their distance in Å.
Positions (direct):
Y  0.9828  0.1247  0.2481  1 Tm 3.52, 6 Y 3.53-3.65, 5 Sm 3.56-3.68
Y  0.9828  0.1247  0.7519  1 Tm 3.52, 6 Y 3.53-3.65, 5 Sm 3.56-3.68
Y  0.4828  0.8753  0.2519  1 Tm 3.52, 6 Y 3.53-3.65, 5 Sm 3.56-3.68
Y  0.6459  0.1240  0.0000  6 Y 3.54-3.66, 4 Sm 3.55-3.67, 2 Tm 3.64-3.66
Y  0.1459  0.8760  0.5000  6 Y 3.54-3.66, 4 Sm 3.55-3.67, 2 Tm 3.64-3.66
Y  0.4828  0.8753  0.7481  1 Tm 3.52, 6 Y 3.53-3.65, 5 Sm 3.56-3.68
Y  0.1476  0.8744  0.0000  6 Y 3.53-3.66, 4 Sm 3.55-3.66, 2 Tm 3.66-3.67
Y  0.6476  0.1256  0.5000  6 Y 3.53-3.66, 4 Sm 3.55-3.66, 2 Tm 3.66-3.67
Sm  0.9792  0.6242  0.7497  2 Tm 3.53-3.56, 4 Sm 3.53-3.65, 6 Y 3.55-3.68
Sm  0.9792  0.6242  0.2503  2 Tm 3.53-3.56, 4 Sm 3.53-3.65, 6 Y 3.55-3.68
Sm  0.4792  0.3758  0.7503  2 Tm 3.53-3.56, 4 Sm 3.53-3.65, 6 Y 3.55-3.68
Sm  0.1496  0.3749  0.5000  4 Sm 3.53-3.55, 6 Y 3.56-3.67, 2 Tm 3.65-3.67
Sm  0.4792  0.3758  0.2497  2 Tm 3.53-3.56, 4 Sm 3.53-3.65, 6 Y 3.55-3.68
Sm  0.6496  0.6251  0.0000  4 Sm 3.53-3.55, 6 Y 3.56-3.67, 2 Tm 3.65-3.67
Tm  0.6480  0.6264  0.5000  6 Y 3.52-3.67, 6 Sm 3.53-3.67
Tm  0.1480  0.3736  0.0000  6 Y 3.52-3.67, 6 Sm 3.53-3.67



This record from the Alexandria database describes a relaxed CeScBe2 crystal. The functional is GGA-PBE.

Results
- calculated volume (Å³ per atom) = 18.08
- E above lowest polymorph (kJ/mol of formula units) = 11
- size of the total moment (μB/cell) = 0.000

Lattice parameters (Å, degrees): 4.6764 4.6764 4.6764 60.00 60.00 60.00
Last column: nearest neighbours and their distance in Å.
Positions (direct):
Sc  0.0000  0.0000  0.0000  8 Be 2.86
Ce  0.5000  0.5000  0.5000  8 Be 2.86
Be  0.2500  0.2500  0.2500  4 Ce 2.86, 4 Sc 2.86
Be  0.7500  0.7500  0.7500  4 Ce 2.86, 4 Sc 2.86



This record from the Alexandria database describes a relaxed Dy3GaOs crystal. The functional is GGA-PBE.

Results
- calculated volume (Å³ per atom) = 24.01
- energy (eV per atom) = -6.006
- size of the total moment (μB/cell) = 0.000

Lattice parameters (Å, degrees): 5.7132 5.7132 8.5464 102.12 102.11 111.84
Last column: nearest neighbours and their distance in Å.
Positions (direct):
Ga  0.6947  0.1947  0.5000  1 Ga 2.49
Ga  0.3053  0.8053  0.5000  1 Ga 2.49
Dy  0.3040  0.8041  0.1081  4 Os 2.98, 2 Dy 3.30
Dy  0.7087  0.5790  0.2877  2 Os 2.85, 2 Ga 3.12
Dy  0.0789  0.2087  0.2876  2 Os 2.85, 2 Ga 3.12
Dy  0.2913  0.4210  0.7123  2 Os 2.85, 2 Ga 3.12
Dy  0.6960  0.1959  0.8919  4 Os 2.98, 2 Dy 3.30
Dy  0.9211  0.7913  0.7124  2 Os 2.85, 2 Ga 3.12
Os  0.7500  0.7500  0.0000  8 Dy 2.85-2.98
Os  0.2500  0.2500  0.0000  8 Dy 2.85-2.98



This record from the Alexandria database describes a relaxed Pr6Co2GeBr3 crystal. The functional is GGA-PBE.

Results
- calculated volume (Å³ per atom) = 28.87
- size of the total moment (μB/cell) = 0.000
- formation energy (no corrections) (eV per formula unit) = -10.1

Lattice parameters (Å, degrees): 4.1383 9.1516 9.9322 109.21 102.02 90.00
Last column: nearest neighbours and their distance in Å.
Positions (direct):
Co  0.1705  0.3424  0.3409  6 Pr 2.71-2.82
Co  0.8295  0.6576  0.6591  6 Pr 2.71-2.82
Pr  0.9774  0.7569  0.9548  1 Co 2.71, 2 Ge 2.96
Pr  0.3370  0.8688  0.6739  2 Co 2.80, 1 Ge 2.99
Pr  0.6805  0.5580  0.3610  3 Co 2.73-2.82
Pr  0.3195  0.4420  0.6390  3 Co 2.73-2.82
Pr  0.0226  0.2431  0.0452  1 Co 2.71, 2 Ge 2.96
Pr  0.6630  0.1312  0.3261  2 Co 2.80, 1 Ge 2.99
Br  0.1609  0.8407  0.3218  6 Pr 3.34-3.43
Br  0.8391  0.1593  0.6782  6 Pr 3.34-3.43
Br  0.5000  0.5000  0.0000  6 Pr 3.27-3.37
Ge  0.5000  0.0000  0.0000  6 Pr 2.96-2.99



This record from the Alexandria database describes a relaxed Y8Cu2Tc crystal. The functional is GGA-PBE.

Results
- calculated volume (Å³ per atom) = 26.99
- E above lowest polymorph (kJ/mol of formula units) = 111
- size of the total moment (μB/cell) = 0.000

Lattice parameters (Å, degrees): 5.7693 7.7830 7.7830 115.46 100.43 100.43
Last column: nearest neighbours and their distance in Å.
Positions (direct):
Y  0.9916  0.7896  0.2119  1 Tc 2.85, 2 Cu 3.12-3.15
Y  0.3813  0.9182  0.6737  2 Cu 2.88-2.91, 1 Tc 3.19, 2 Y 3.22
Y  0.8132  0.6434  0.6434  1 Tc 2.90, 2 Cu 3.14
Y  0.1769  0.3656  0.3656  1 Tc 2.88, 2 Cu 3.15
Y  0.3813  0.6737  0.9182  2 Cu 2.88-2.91, 1 Tc 3.19, 2 Y 3.22
Y  0.5854  0.0856  0.3297  2 Cu 2.86-2.88, 1 Tc 3.17
Y  0.5854  0.3297  0.0856  2 Cu 2.86-2.88, 1 Tc 3.17
Y  0.9916  0.2119  0.7896  1 Tc 2.85, 2 Cu 3.12-3.15
Cu  0.4965  0.3102  0.7010  8 Y 2.86-3.15
Cu  0.4965  0.7010  0.3102  8 Y 2.86-3.15
Tc  0.1002  0.0051  0.0051  8 Y 2.85-3.19



This record from the Alexandria database describes a relaxed BeAg2F crystal. The functional is GGA-PBE.

Results
- calculated volume (Å³ per atom) = 14.80
- E above lowest polymorph (kJ/mol of formula units) = 0
- size of the total moment (μB/cell) = 0.000
- formation energy (no corrections) (eV per formula unit) = -0.8

Lattice parameters (Å, degrees): 6.4651 6.4651 5.3782 53.06 53.06 90.00
Last column: nearest neighbours and their distance in Å.
Positions (direct):
Ag  0.8750  0.8670  0.7500  2 Be 2.36, 2 F 2.43
Ag  0.1330  0.6250  0.2500  2 Be 2.36, 2 F 2.43
Ag  0.6170  0.1250  0.2500  2 Be 2.36, 2 F 2.43
Ag  0.3750  0.3830  0.7500  2 Be 2.36, 2 F 2.43
Be  0.2500  0.7500  0.5000  4 Ag 2.36
Be  0.5000  0.5000  0.0000  4 Ag 2.36
F  0.7500  0.2500  0.5000  4 Ag 2.43
F  0.0000  0.0000  0.0000  4 Ag 2.43



This record from the Alexandria database describes a relaxed Gd3Ru crystal. The functional is GGA-PBE.

Results
- calculated volume (Å³ per atom) = 26.30
- energy (eV per atom) = -12.811
- size of the total moment (μB/cell) = 21.630

Lattice parameters (Å, degrees): 4.4332 4.4459 5.3385 90.00 90.00 90.00
Last column: nearest neighbours and their distance in Å.
Positions (direct):
Gd  0.5000  0.0000  0.8684  2 Ru 3.00, 4 Gd 3.14
Gd  0.5000  0.5000  0.3481  4 Ru 3.18, 8 Gd 3.38-3.56
Gd  0.0000  0.5000  0.8690  2 Ru 3.01, 4 Gd 3.14
Ru  0.0000  0.0000  0.2478  8 Gd 3.00-3.18



Which of these has the highest calculated volume?
Sm3Y4Tm